1.
# Cs4Tb3NpTe8 | the Alexandria database | PBE | relaxed
# raw total energy = -4.721 eV per atom
# formation energy without anion corrections = -1260.2 meV/atom
# D(E_F) = 17.4 states/eV/cell
data_Cs4Tb3NpTe8
_chemical_formula_sum 'Cs12 Tb9 Np3 Te24'
_space_group_name_H-M_alt 'R -3 m'
_space_group_IT_number 166
_space_group_name_Hall '-R 3 2"'
_cell_length_a 9.1913
_cell_length_b 9.1913
_cell_length_c 26.7125
_cell_angle_alpha 90.00
_cell_angle_beta 90.00
_cell_angle_gamma 120.00
loop_
_atom_site_label
_atom_site_type_symbol
_atom_site_fract_x
_atom_site_fract_y
_atom_site_fract_z
Cs1 Cs 0.0000 0.0000 0.0000
Cs2 Cs 0.0000 0.5000 0.0000
Tb1 Tb 0.0000 0.5000 0.5000
Np1 Np 0.0000 0.0000 0.5000
Te1 Te 0.0000 0.0000 0.2300
Te2 Te 0.0037 0.5018 0.7700

=====

2.
# Cs2KAu | the Alexandria database | PBE | relaxed
# raw total energy = -1.546 eV per atom
# calculated formation energy = -0.026 eV per atom
# D(E_F) = 2.5 states/eV/cell
data_Cs2KAu
_chemical_formula_sum 'Cs8 K4 Au4'
_space_group_name_H-M_alt 'F m -3 m'
_space_group_IT_number 225
_space_group_name_Hall '-F 4 2 3'
_cell_length_a 9.532
_cell_length_b 9.532
_cell_length_c 9.532
_cell_angle_alpha 90.00
_cell_angle_beta 90.00
_cell_angle_gamma 90.00
loop_
_atom_site_label
_atom_site_type_symbol
_atom_site_fract_x
_atom_site_fract_y
_atom_site_fract_z
Cs1 Cs 0.250 0.250 0.250
K1 K 0.000 0.000 0.000
Au1 Au 0.000 0.000 0.500

=====

What did the second record say?
# Cs2KAu | the Alexandria database | PBE | relaxed
# raw total energy = -1.546 eV per atom
# calculated formation energy = -0.026 eV per atom
# D(E_F) = 2.5 states/eV/cell
data_Cs2KAu
_chemical_formula_sum 'Cs8 K4 Au4'
_space_group_name_H-M_alt 'F m -3 m'
_space_group_IT_number 225
_space_group_name_Hall '-F 4 2 3'
_cell_length_a 9.532
_cell_length_b 9.532
_cell_length_c 9.532
_cell_angle_alpha 90.00
_cell_angle_beta 90.00
_cell_angle_gamma 90.00
loop_
_atom_site_label
_atom_site_type_symbol
_atom_site_fract_x
_atom_site_fract_y
_atom_site_fract_z
Cs1 Cs 0.250 0.250 0.250
K1 K 0.000 0.000 0.000
Au1 Au 0.000 0.000 0.500

=====

Copy entry 1 word for word.
# Cs4Tb3NpTe8 | the Alexandria database | PBE | relaxed
# raw total energy = -4.721 eV per atom
# formation energy without anion corrections = -1260.2 meV/atom
# D(E_F) = 17.4 states/eV/cell
data_Cs4Tb3NpTe8
_chemical_formula_sum 'Cs12 Tb9 Np3 Te24'
_space_group_name_H-M_alt 'R -3 m'
_space_group_IT_number 166
_space_group_name_Hall '-R 3 2"'
_cell_length_a 9.1913
_cell_length_b 9.1913
_cell_length_c 26.7125
_cell_angle_alpha 90.00
_cell_angle_beta 90.00
_cell_angle_gamma 120.00
loop_
_atom_site_label
_atom_site_type_symbol
_atom_site_fract_x
_atom_site_fract_y
_atom_site_fract_z
Cs1 Cs 0.0000 0.0000 0.0000
Cs2 Cs 0.0000 0.5000 0.0000
Tb1 Tb 0.0000 0.5000 0.5000
Np1 Np 0.0000 0.0000 0.5000
Te1 Te 0.0000 0.0000 0.2300
Te2 Te 0.0037 0.5018 0.7700